1.
YLuCu2Sn2 | PBE-GGA | relaxed

Results
V ... 21.10 Å³/atom
Space-group type ... P3m1, No. 156
Total magnetization ... 0.0 μB/f.u.
Energy ... -4.995 eV per atom

Structure (POSCAR):
```
YLuCu2Sn2
1.0
-0.7375 -3.0734 -3.2254
4.2198 1.2709 0.9854
0.4347 -5.2301 4.8843
Sn Cu Y Lu
2 2 1 1
direct
0.3333 0.6667 0.4598
0.6667 0.3333 0.9673
0.3333 0.6667 0.0596
0.6667 0.3333 0.5464
0.0000 0.0000 0.7337
0.0000 0.0000 0.2332
```

***

2.
SrLuCu2 | PBE-GGA | relaxed

Results
V ... 20.23 Å³/atom
Space-group type ... F-43m, No. 216
Total magnetization ... 0.0 μB/f.u.
Energy ... -3.115 eV per atom

Structure (POSCAR):
```
SrLuCu2
1.0
0.0000 3.4330 3.4330
3.4330 0.0000 3.4330
3.4330 3.4330 0.0000
Sr Cu Lu
1 2 1
direct
0.5000 0.5000 0.5000
0.7500 0.7500 0.7500
0.0000 0.0000 0.0000
0.2500 0.2500 0.2500
```

***

3.
SrLuCuTe3 | PBE-GGA | relaxed

Results
V ... 29.95 Å³/atom
Space-group type ... C2/m, No. 12
Total magnetization ... 0.0 μB/f.u.
Energy ... -4.310 eV per atom

Structure (POSCAR):
```
SrLuCuTe3
1.0
-9.7221 1.6510 1.5501
-8.6094 -0.7319 4.9990
3.6286 7.0082 3.6715
Cu Lu Te Sr
2 2 6 2
direct
0.4569 0.4569 0.2933
0.5431 0.5431 0.7067
0.8385 0.8385 0.4171
0.1615 0.1615 0.5829
0.6767 0.6767 0.3548
0.6788 0.6788 0.8269
0.0000 0.0000 0.5000
0.5000 0.5000 0.0000
0.3212 0.3212 0.1731
0.3233 0.3233 0.6452
0.8742 0.8742 0.9316
0.1258 0.1258 0.0684
```